The following is a PBE-GGA calculation of a geometry-optimized TmNb2 structure, from OQMD.

The structure in POSCAR format:
```
TmNb2
1.0
3.773 0.569 2.646
1.944 4.198 0.401
-0.303 2.326 4.008
Tm Nb
1 2
direct
0.000 0.000 0.000 Tm
0.750 0.750 0.750 Nb
0.250 0.250 0.250 Nb
```

Calculated values
VASP energy, eV/atom: -6.75
Formation energy from the elements, eV per atom: 1.473
Calculated volume, A^3/atom: 23.60
Total magnetization, μB per cell: 0.0
ΔE to the lowest computed polymorph, eV per atom: 1.2986

---

The following is a PBE-GGA calculation of a geometry-optimized NdTmHg6 structure, from OQMD.

The structure in POSCAR format:
```
NdTmHg6
1.0
6.634 0.000 0.000
-3.317 5.745 0.000
0.000 0.000 5.016
Tm Hg Nd
1 6 1
direct
0.333 0.667 0.500 Tm
0.829 0.659 0.500 Hg
0.829 0.171 0.500 Hg
0.341 0.171 0.500 Hg
0.004 0.502 0.000 Hg
0.498 0.502 0.000 Hg
0.498 0.996 0.000 Hg
0.000 0.000 0.000 Nd
```

Calculated values
VASP energy, eV/atom: -1.72
Formation energy from the elements, eV per atom: -0.344
Calculated volume, A^3/atom: 23.90
Total magnetization, μB per cell: 0.0

---

The following is a PBE-GGA calculation of a geometry-optimized SrZnNi2 structure, from OQMD.

The structure in POSCAR format:
```
SrZnNi2
1.0
0.318 3.181 3.364
3.791 2.655 0.331
-0.230 4.515 -1.047
Ni Zn Sr
2 1 1
direct
0.500 0.500 0.500 Ni
0.750 0.750 0.750 Ni
0.000 0.000 0.000 Zn
0.250 0.250 0.250 Sr
```

Calculated values
VASP energy, eV/atom: -3.21
Calculated volume, A^3/atom: 17.66
Total magnetization, μB per cell: 0.1

---

The following is a PBE-GGA calculation of a geometry-optimized AcZnPO structure, from OQMD.

The structure in POSCAR format:
```
AcZnPO
1.0
4.390 0.000 0.000
0.000 6.605 0.000
0.000 0.000 6.211
P Zn Ac O
2 2 2 2
direct
0.000 0.784 0.440 P
0.000 0.216 0.940 P
0.500 0.344 0.011 Zn
0.500 0.656 0.511 Zn
0.000 0.748 0.939 Ac
0.000 0.252 0.439 Ac
0.500 0.372 0.364 O
0.500 0.628 0.864 O
```

Calculated values
VASP energy, eV/atom: -5.54
Calculated volume, A^3/atom: 22.51
Total magnetization, μB per cell: 0.0
ΔE to the lowest computed polymorph, eV per atom: 0.2467

---

The following is a PBE-GGA calculation of a geometry-optimized TmNbN2O structure, from OQMD.

The structure in POSCAR format:
```
TmNbN2O
1.0
-5.280 3.146 -4.818
-3.879 -0.370 4.010
1.404 5.167 1.835
N Tm Nb O
8 4 4 4
direct
0.821 0.501 0.235 N
0.321 0.003 0.232 N
0.679 0.997 0.732 N
0.321 0.997 0.732 N
0.179 0.499 0.735 N
0.679 0.003 0.232 N
0.821 0.499 0.735 N
0.179 0.501 0.235 N
0.000 0.283 0.970 Tm
0.500 0.783 0.464 Tm
0.500 0.217 0.964 Tm
0.000 0.717 0.470 Tm
0.750 0.750 0.957 Nb
0.250 0.250 0.457 Nb
0.750 0.250 0.457 Nb
0.250 0.750 0.957 Nb
0.500 0.617 0.992 O
0.000 0.117 0.487 O
0.500 0.383 0.492 O
0.000 0.883 0.987 O
```

Calculated values
VASP energy, eV/atom: -8.97
Calculated volume, A^3/atom: 12.36
Total magnetization, μB per cell: 0.0

---

The following is a PBE-GGA calculation of a geometry-optimized SmTm2Mg3AgHg2 structure, from OQMD.

The structure in POSCAR format:
```
SmTm2Mg3AgHg2
1.0
-3.432 -2.226 0.883
4.421 -5.597 3.070
-2.634 5.814 4.422
Sm Hg Mg Ag Tm
1 2 3 1 2
direct
0.000 0.412 0.412 Sm
0.500 0.672 0.331 Hg
0.500 0.331 0.672 Hg
0.500 0.999 0.244 Mg
0.500 0.756 0.756 Mg
0.500 0.244 0.999 Mg
0.000 0.994 0.994 Ag
0.000 0.591 0.000 Tm
0.000 0.000 0.591 Tm
```

Calculated values
VASP energy, eV/atom: -2.77
Calculated volume, A^3/atom: 24.16
Total magnetization, μB per cell: 0.0

---

The following is a PBE-GGA calculation of a geometry-optimized CsHoCdSe3 structure, from OQMD.

The structure in POSCAR format:
```
CsHoCdSe3
1.0
9.333 0.000 0.000
0.000 4.293 0.000
-3.889 0.000 10.015
Se Cd Cs Ho
6 2 2 2
direct
0.115 0.250 0.367 Se
0.775 0.250 0.941 Se
0.885 0.750 0.633 Se
0.525 0.250 0.354 Se
0.225 0.750 0.059 Se
0.475 0.750 0.646 Se
0.919 0.750 0.885 Cd
0.081 0.250 0.115 Cd
0.234 0.250 0.754 Cs
0.766 0.750 0.246 Cs
0.327 0.750 0.369 Ho
0.673 0.250 0.631 Ho
```

Calculated values
VASP energy, eV/atom: -4.15
Calculated volume, A^3/atom: 33.44
Total magnetization, μB per cell: 0.0

---

The following is a PBE-GGA calculation of a geometry-optimized HoScGa structure, from OQMD.

The structure in POSCAR format:
```
HoScGa
1.0
2.062 0.576 4.306
-1.341 -2.767 3.697
2.993 -3.357 1.701
Ga Ho Sc
1 1 1
direct
0.250 0.250 0.250 Ga
0.750 0.750 0.750 Ho
0.000 0.000 0.000 Sc
```

Calculated values
VASP energy, eV/atom: -4.33
Calculated volume, A^3/atom: 26.21
Total magnetization, μB per cell: 0.7
ΔE to the lowest computed polymorph, eV per atom: 0.0000

---

The following is a PBE-GGA calculation of a geometry-optimized ErZrAlCo2 structure, from OQMD.

The structure in POSCAR format:
```
ErZrAlCo2
1.0
-2.019 2.655 3.906
2.019 -2.655 3.906
2.019 2.655 -3.906
Co Al Zr Er
2 1 1 1
direct
0.724 0.499 0.225 Co
0.274 0.499 0.775 Co
0.003 0.003 0.000 Al
0.294 0.794 0.500 Zr
0.705 0.205 0.500 Er
```

Calculated values
VASP energy, eV/atom: -6.63
Calculated volume, A^3/atom: 16.75
Total magnetization, μB per cell: 0.0

---

The following is a PBE-GGA calculation of a geometry-optimized RbTeIrAuS2 structure, from OQMD.

The structure in POSCAR format:
```
RbTeIrAuS2
1.0
-7.336 4.869 -1.091
5.912 -4.921 4.421
5.272 8.477 2.387
S Rb Te Ir Au
4 2 2 2 2
direct
0.092 0.908 0.477 S
0.908 0.092 0.523 S
0.908 0.092 0.977 S
0.092 0.908 0.023 S
0.768 0.232 0.250 Rb
0.232 0.768 0.750 Rb
0.552 0.448 0.750 Te
0.448 0.552 0.250 Te
0.500 0.500 0.500 Ir
0.500 0.500 0.000 Ir
0.104 0.896 0.250 Au
0.896 0.104 0.750 Au
```

Calculated values
VASP energy, eV/atom: -4.44
Calculated volume, A^3/atom: 26.91
Total magnetization, μB per cell: 0.0

---

The following is a PBE-GGA calculation of a geometry-optimized Ba2HfOs structure, from OQMD.

The structure in POSCAR format:
```
Ba2HfOs
1.0
0.000 3.782 3.782
3.782 0.000 3.782
3.782 3.782 0.000
Ba Os Hf
2 1 1
direct
0.000 0.000 0.000 Ba
0.750 0.750 0.750 Ba
0.500 0.500 0.500 Os
0.250 0.250 0.250 Hf
```

Calculated values
VASP energy, eV/atom: -5.28
Calculated volume, A^3/atom: 27.04
Total magnetization, μB per cell: 0.0

---

The following is a PBE-GGA calculation of a geometry-optimized ErSbPO structure, from OQMD.

The structure in POSCAR format:
```
ErSbPO
1.0
-0.390 -0.690 3.552
-5.025 -4.118 -1.351
4.534 -5.355 -0.543
O Er P Sb
2 2 2 2
direct
0.500 0.953 0.467 O
0.500 0.047 0.967 O
0.000 0.207 0.945 Er
0.000 0.793 0.445 Er
0.000 0.395 0.300 P
0.000 0.605 0.800 P
0.500 0.721 0.042 Sb
0.500 0.279 0.542 Sb
```

Calculated values
VASP energy, eV/atom: -6.02
Calculated volume, A^3/atom: 21.24
Total magnetization, μB per cell: 0.0
ΔE to the lowest computed polymorph, eV per atom: 0.0492

---

The following is a PBE-GGA calculation of a geometry-optimized BaNaSmS3 structure, from OQMD.

The structure in POSCAR format:
```
BaNaSmS3
1.0
10.635 0.000 0.000
0.000 4.299 0.000
0.000 0.000 13.868
S Na Ba Sm
12 4 4 4
direct
0.061 0.750 0.117 S
0.439 0.250 0.617 S
0.459 0.750 0.120 S
0.561 0.750 0.383 S
0.743 0.750 0.671 S
0.041 0.250 0.620 S
0.243 0.750 0.829 S
0.939 0.250 0.883 S
0.541 0.250 0.880 S
0.959 0.750 0.380 S
0.257 0.250 0.329 S
0.757 0.250 0.171 S
0.241 0.250 0.726 Na
0.259 0.750 0.226 Na
0.741 0.250 0.774 Na
0.759 0.750 0.274 Na
0.740 0.750 0.005 Ba
0.240 0.750 0.495 Ba
0.760 0.250 0.505 Ba
0.260 0.250 0.995 Ba
0.008 0.250 0.246 Sm
0.992 0.750 0.754 Sm
0.508 0.250 0.254 Sm
0.492 0.750 0.746 Sm
```

Calculated values
VASP energy, eV/atom: -5.15
Calculated volume, A^3/atom: 26.42
Total magnetization, μB per cell: 0.0

---

The following is a PBE-GGA calculation of a geometry-optimized NdTmI2O2 structure, from OQMD.

The structure in POSCAR format:
```
NdTmI2O2
1.0
3.970 0.000 0.000
0.000 3.970 0.000
0.000 0.000 9.230
Nd Tm O I
1 1 2 2
direct
0.500 0.500 0.125 Nd
0.000 0.000 0.882 Tm
0.500 0.000 0.993 O
0.000 0.500 0.993 O
0.500 0.500 0.675 I
0.000 0.000 0.332 I
```

Calculated values
VASP energy, eV/atom: -6.39
Calculated volume, A^3/atom: 24.25
Total magnetization, μB per cell: 0.0

---

The following is a PBE-GGA calculation of a geometry-optimized Li2PdO3 structure, from OQMD.

The structure in POSCAR format:
```
Li2PdO3
1.0
-2.087 4.455 1.447
-0.666 -4.191 2.880
4.862 0.966 1.007
O Li Pd
6 4 2
direct
0.421 0.076 0.762 O
0.765 0.765 0.759 O
0.235 0.235 0.241 O
0.579 0.925 0.238 O
0.075 0.421 0.762 O
0.924 0.579 0.238 O
0.664 0.336 0.500 Li
0.337 0.663 0.500 Li
0.500 0.500 0.000 Li
0.001 0.999 0.500 Li
0.167 0.833 0.000 Pd
0.833 0.167 0.000 Pd
```

Calculated values
VASP energy, eV/atom: -5.25
Calculated volume, A^3/atom: 9.04
ΔE to the lowest computed polymorph, eV per atom: 0.0000

---

The following is a PBE-GGA calculation of a geometry-optimized P4Os structure, from OQMD.

The structure in POSCAR format:
```
P4Os
1.0
-3.789 -2.014 2.022
2.877 -5.695 -3.328
3.131 1.074 6.825
P Os
12 3
direct
0.599 0.366 0.899 P
0.340 0.914 0.561 P
0.392 0.169 0.231 P
0.272 0.427 0.451 P
0.795 0.296 0.124 P
0.660 0.086 0.439 P
0.401 0.634 0.101 P
0.205 0.704 0.876 P
0.822 0.838 0.214 P
0.178 0.162 0.786 P
0.608 0.831 0.769 P
0.728 0.573 0.549 P
0.941 0.372 0.672 Os
0.000 0.000 0.000 Os
0.059 0.628 0.328 Os
```

Calculated values
VASP energy, eV/atom: -6.95
Calculated volume, A^3/atom: 15.77
Total magnetization, μB per cell: 0.0
ΔE to the lowest computed polymorph, eV per atom: 0.0000

---

The following is a PBE-GGA calculation of a geometry-optimized Ho2GeO4 structure, from OQMD.

The structure in POSCAR format:
```
Ho2GeO4
1.0
4.748 -4.749 0.000
-4.748 0.000 -4.749
4.748 4.749 0.000
Ho Ge O
4 2 8
direct
0.375 0.750 0.625 Ho
0.875 0.250 0.625 Ho
0.375 0.250 0.625 Ho
0.375 0.750 0.125 Ho
0.000 0.000 0.000 Ge
0.750 0.500 0.250 Ge
0.137 0.726 0.863 O
0.613 0.226 0.387 O
0.613 0.226 0.839 O
0.161 0.774 0.387 O
0.589 0.726 0.863 O
0.137 0.274 0.411 O
0.613 0.774 0.387 O
0.137 0.274 0.863 O
```

Calculated values
VASP energy, eV/atom: -7.50
Calculated volume, A^3/atom: 15.30
Total magnetization, μB per cell: 0.0

---

The following is a PBE-GGA calculation of a geometry-optimized HfGe2Bi structure, from OQMD.

The structure in POSCAR format:
```
HfGe2Bi
1.0
-0.323 -0.922 4.949
-0.203 3.834 3.272
-4.285 0.980 2.474
Ge Hf Bi
2 1 1
direct
0.750 0.750 0.750 Ge
0.000 0.000 0.000 Ge
0.250 0.250 0.250 Hf
0.500 0.500 0.500 Bi
```

Calculated values
VASP energy, eV/atom: -5.49
Calculated volume, A^3/atom: 22.69
Total magnetization, μB per cell: 0.0

---

The following is a PBE-GGA calculation of a geometry-optimized LiTlCuPt structure, from OQMD.

The structure in POSCAR format:
```
LiTlCuPt
1.0
0.000 3.148 3.148
3.148 0.000 3.148
3.148 3.148 0.000
Cu Li Pt Tl
1 1 1 1
direct
0.750 0.750 0.750 Cu
0.250 0.250 0.250 Li
0.500 0.500 0.500 Pt
0.000 0.000 0.000 Tl
```

Calculated values
VASP energy, eV/atom: -3.69
Calculated volume, A^3/atom: 15.60
Total magnetization, μB per cell: 0.0
ΔE to the lowest computed polymorph, eV per atom: 0.0000

---

The following is a PBE-GGA calculation of a geometry-optimized MgZnCuB structure, from OQMD.

The structure in POSCAR format:
```
MgZnCuB
1.0
0.567 1.513 3.811
0.705 4.043 0.538
-2.900 2.394 1.729
B Mg Zn Cu
1 1 1 1
direct
0.000 0.000 0.000 B
0.250 0.250 0.250 Mg
0.500 0.500 0.500 Zn
0.750 0.750 0.750 Cu
```

Calculated values
VASP energy, eV/atom: -2.81
Calculated volume, A^3/atom: 12.54
ΔE to the lowest computed polymorph, eV per atom: 0.0272

---

The following is a PBE-GGA calculation of a geometry-optimized CdH2 structure, from OQMD.

The structure in POSCAR format:
```
CdH2
1.0
-1.148 2.459 -1.584
-0.964 -0.319 -2.973
-3.305 -1.873 3.305
Cd H
1 2
direct
0.000 0.000 0.000 Cd
0.241 0.241 0.771 H
0.759 0.759 0.229 H
```

Calculated values
VASP energy, eV/atom: -2.15
Calculated volume, A^3/atom: 12.80

---

The following is a PBE-GGA calculation of a geometry-optimized Y2BAu structure, from OQMD.

The structure in POSCAR format:
```
Y2BAu
1.0
0.000 3.399 3.399
3.399 0.000 3.399
3.399 3.399 0.000
Au B Y
1 1 2
direct
0.250 0.250 0.250 Au
0.500 0.500 0.500 B
0.750 0.750 0.750 Y
0.000 0.000 0.000 Y
```

Calculated values
VASP energy, eV/atom: -5.17
Calculated volume, A^3/atom: 19.63
Total magnetization, μB per cell: 0.4

---

The following is a PBE-GGA calculation of a geometry-optimized AcPrY structure, from OQMD.

The structure in POSCAR format:
```
AcPrY
1.0
-2.158 -4.588 2.697
-4.446 -2.839 -2.271
0.766 -5.249 -2.201
Ac Y Pr
1 1 1
direct
0.250 0.250 0.250 Ac
0.000 0.000 0.000 Y
0.750 0.750 0.750 Pr
```

Calculated values
VASP energy, eV/atom: -4.45
Formation energy from the elements, eV per atom: 0.663
Calculated volume, A^3/atom: 44.65
Total magnetization, μB per cell: 0.0
ΔE to the lowest computed polymorph, eV per atom: 0.0000

---

The following is a PBE-GGA calculation of a geometry-optimized HoMg2Al3Sn2Pt structure, from OQMD.

The structure in POSCAR format:
```
HoMg2Al3Sn2Pt
1.0
-3.178 -1.660 -2.214
1.043 -6.324 3.244
-4.460 4.947 2.693
Al Ho Mg Sn Pt
3 1 2 2 1
direct
0.500 0.002 0.221 Al
0.500 0.765 0.765 Al
0.500 0.221 0.002 Al
0.000 0.416 0.416 Ho
0.000 0.999 0.620 Mg
0.000 0.620 0.999 Mg
0.500 0.671 0.317 Sn
0.500 0.317 0.671 Sn
0.000 0.990 0.990 Pt
```

Calculated values
VASP energy, eV/atom: -4.19
Calculated volume, A^3/atom: 20.54
Total magnetization, μB per cell: 0.0